Entry 1:
Computed, not measured: a geometry-optimized Y2HfWC structure at the GGA-PBE level of DFT.

Output
**Energy relative to the elements**: 0.303 eV per atom
**Uncorrected energy**: -0.3200 Ha/atom
**DOS at the Fermi energy**: 5.4 states/eV/f.u.
**ρ**: 8.78 Mg/m³

Geometry as CIF:
```
data_Y2HfWC
_chemical_formula_sum 'Y2 Hf1 W1 C1'
_cell_length_a 4.862
_cell_length_b 4.862
_cell_length_c 4.418
_cell_angle_alpha 90.00
_cell_angle_beta 90.00
_cell_angle_gamma 90.00
_symmetry_space_group_name_H-M 'P 4/m m m'
_symmetry_Int_Tables_number 123
_symmetry_space_group_name_Hall '-P 4 2'
loop_
_atom_site_label
_atom_site_type_symbol
_atom_site_fract_x
_atom_site_fract_y
_atom_site_fract_z
Y1 Y 0.000 0.500 0.000
Hf1 Hf 0.000 0.000 0.500
W1 W 0.500 0.500 0.500
C1 C 0.000 0.000 0.000
```


Entry 2:
Computed, not measured: a geometry-optimized AcGdAgSb structure at the GGA-PBE level of DFT.

Output
**Uncorrected energy**: -0.2515 Ha/atom
**DOS at the Fermi energy**: 6.9 states/eV/f.u.
**ρ**: 8.58 Mg/m³

Geometry as CIF:
```
data_AcGdAgSb
_chemical_formula_sum 'Ac4 Gd4 Ag4 Sb4'
_cell_length_a 7.804
_cell_length_b 7.804
_cell_length_c 7.804
_cell_angle_alpha 90.00
_cell_angle_beta 90.00
_cell_angle_gamma 90.00
_symmetry_space_group_name_H-M 'F -4 3 m'
_symmetry_Int_Tables_number 216
_symmetry_space_group_name_Hall 'F -4 2 3'
loop_
_atom_site_label
_atom_site_type_symbol
_atom_site_fract_x
_atom_site_fract_y
_atom_site_fract_z
Ac1 Ac 0.000 0.000 0.000
Gd1 Gd 0.000 0.000 0.500
Ag1 Ag 0.250 0.250 0.750
Sb1 Sb 0.250 0.250 0.250
```


Entry 3:
Computed, not measured: a geometry-optimized CsIrRh3 structure at the GGA-PBE level of DFT.

Output
**Energy relative to the elements**: 1.060 eV per atom
**Uncorrected energy**: -0.1946 Ha/atom
**DOS at the Fermi energy**: 7.3 states/eV/f.u.
**ρ**: 8.99 Mg/m³

Geometry as CIF:
```
data_CsIrRh3
_chemical_formula_sum 'Cs1 Ir1 Rh3'
_cell_length_a 4.893
_cell_length_b 4.893
_cell_length_c 4.893
_cell_angle_alpha 90.00
_cell_angle_beta 90.00
_cell_angle_gamma 90.00
_symmetry_space_group_name_H-M 'P m -3 m'
_symmetry_Int_Tables_number 221
_symmetry_space_group_name_Hall '-P 4 2 3'
loop_
_atom_site_label
_atom_site_type_symbol
_atom_site_fract_x
_atom_site_fract_y
_atom_site_fract_z
Cs1 Cs 0.000 0.000 0.000
Ir1 Ir 0.500 0.500 0.500
Rh1 Rh 0.000 0.500 0.500
```


Entry 4:
Computed, not measured: a geometry-optimized BePbAu3 structure at the GGA-PBE level of DFT.

Output
**Energy relative to the elements**: 0.000 eV per atom
**Uncorrected energy**: -0.1269 Ha/atom
**DOS at the Fermi energy**: 1.7 states/eV/f.u.
**ρ**: 13.50 Mg/m³

Geometry as CIF:
```
data_BePbAu3
_chemical_formula_sum 'Be1 Pb1 Au3'
_cell_length_a 4.631
_cell_length_b 4.631
_cell_length_c 4.631
_cell_angle_alpha 90.00
_cell_angle_beta 90.00
_cell_angle_gamma 90.00
_symmetry_space_group_name_H-M 'P m -3 m'
_symmetry_Int_Tables_number 221
_symmetry_space_group_name_Hall '-P 4 2 3'
loop_
_atom_site_label
_atom_site_type_symbol
_atom_site_fract_x
_atom_site_fract_y
_atom_site_fract_z
Be1 Be 0.000 0.000 0.000
Pb1 Pb 0.500 0.500 0.500
Au1 Au 0.000 0.000 0.500
```


Entry 5:
Computed, not measured: a geometry-optimized Ba3SrY2Sb2O12 structure at the GGA-PBE level of DFT.

Output
**Uncorrected energy**: -0.2596 Ha/atom
**DOS at the Fermi energy**: 0.0 states/eV/f.u.
**ρ**: 6.05 Mg/m³

Geometry as CIF:
```
data_Ba3SrY2Sb2O12
_chemical_formula_sum 'Ba3 Sr1 Y2 Sb2 O12'
_cell_length_a 6.005
_cell_length_b 6.010
_cell_length_c 10.362
_cell_angle_alpha 90.00
_cell_angle_beta 73.20
_cell_angle_gamma 60.05
_symmetry_space_group_name_H-M 'P 1'
_symmetry_Int_Tables_number 1
loop_
_symmetry_equiv_pos_as_xyz
'x,y,z'
loop_
_atom_site_label
_atom_site_type_symbol
_atom_site_fract_x
_atom_site_fract_y
_atom_site_fract_z
Ba1 Ba 0.000 0.000 0.000
Ba2 Ba 0.000 0.500 0.499
Ba3 Ba 0.501 0.250 0.749
Sr1 Sr 0.505 0.750 0.245
Y1 Y 0.249 0.375 0.126
Y2 Y 0.252 0.874 0.622
Sb1 Sb 0.749 0.625 0.876
Sb2 Sb 0.752 0.124 0.372
O1 O 0.015 0.718 0.759
O2 O 0.044 0.187 0.258
O3 O 0.476 0.040 0.486
O4 O 0.483 0.535 0.992
O5 O 0.518 0.771 0.754
O6 O 0.523 0.298 0.252
O7 O 0.538 0.977 0.998
O8 O 0.549 0.478 0.492
O9 O 0.935 0.773 0.253
O10 O 0.963 0.271 0.755
O11 O 0.976 0.480 0.999
O12 O 0.981 0.970 0.494
```


Entry 6:
Computed, not measured: a geometry-optimized SrCSe2Br structure at the GGA-PBE level of DFT.

Output
**Uncorrected energy**: -0.1423 Ha/atom
**DOS at the Fermi energy**: 2.9 states/eV/f.u.
**ρ**: 5.08 Mg/m³

Geometry as CIF:
```
data_SrCSe2Br
_chemical_formula_sum 'Sr1 C1 Se2 Br1'
_cell_length_a 4.500
_cell_length_b 4.500
_cell_length_c 5.443
_cell_angle_alpha 90.00
_cell_angle_beta 90.00
_cell_angle_gamma 90.00
_symmetry_space_group_name_H-M 'P 4/m m m'
_symmetry_Int_Tables_number 123
_symmetry_space_group_name_Hall '-P 4 2'
loop_
_atom_site_label
_atom_site_type_symbol
_atom_site_fract_x
_atom_site_fract_y
_atom_site_fract_z
Sr1 Sr 0.000 0.000 0.000
C1 C 0.500 0.500 0.500
Se1 Se 0.000 0.500 0.500
Br1 Br 0.500 0.500 0.000
```


Entry 7:
Computed, not measured: a geometry-optimized La8Nd6Sm structure at the GGA-PBE level of DFT.

Output
**Energy relative to the elements**: 0.113 eV per atom
**Uncorrected energy**: -0.1741 Ha/atom
**DOS at the Fermi energy**: 24.7 states/eV/f.u.
**ρ**: 6.55 Mg/m³

Geometry as CIF:
```
data_La8Nd6Sm
_chemical_formula_sum 'La24 Nd18 Sm3'
_cell_length_a 10.0083
_cell_length_b 10.0083
_cell_length_c 18.6495
_cell_angle_alpha 90.00
_cell_angle_beta 90.00
_cell_angle_gamma 120.00
_symmetry_space_group_name_H-M 'R -3'
_symmetry_Int_Tables_number 148
_symmetry_space_group_name_Hall '-R 3'
loop_
_atom_site_label
_atom_site_type_symbol
_atom_site_fract_x
_atom_site_fract_y
_atom_site_fract_z
La1 La 0.0000 0.0000 0.2389
La2 La 0.0462 0.7689 0.9026
Nd1 Nd 0.0269 0.7914 0.4083
Sm1 Sm 0.0000 0.0000 0.0000
```


Entry 8:
Computed, not measured: a geometry-optimized SbW4Cl structure at the GGA-PBE level of DFT.

Output
**Uncorrected energy**: -0.3119 Ha/atom
**DOS at the Fermi energy**: 5.2 states/eV/f.u.
**ρ**: 13.03 Mg/m³

Geometry as CIF:
```
data_SbW4Cl
_chemical_formula_sum 'Sb4 W16 Cl4'
_cell_length_a 7.692
_cell_length_b 7.692
_cell_length_c 7.692
_cell_angle_alpha 90.00
_cell_angle_beta 90.00
_cell_angle_gamma 90.00
_symmetry_space_group_name_H-M 'F -4 3 m'
_symmetry_Int_Tables_number 216
_symmetry_space_group_name_Hall 'F -4 2 3'
loop_
_atom_site_label
_atom_site_type_symbol
_atom_site_fract_x
_atom_site_fract_y
_atom_site_fract_z
Sb1 Sb 0.000 0.000 0.000
W1 W 0.121 0.121 0.621
Cl1 Cl 0.250 0.250 0.250
```


- What is the uncorrected energy in the fifth record?
  -0.2596 Ha/atom


- Among the records above, which one has the lowest ρ?
  SrCSe2Br